[1]
A plane-wave DFT calculation with PBE was carried out for Np2TcSn after structural relaxation.

Results
distance to the lowest polymorph of the same formula = 0.022 eV per atom
E = -39.682 eV per cell
total moment = 6.9 μB/f.u.
space group = P4/mmm, No. 123
formation energy = 54.8 kJ/mol of formula units
crystal system = tetragonal

Lattice parameters (Å, degrees): 3.845 3.845 5.838 90.00 90.00 90.00
Positions (direct):
Np1 0.000 0.000 0.228
Np2 0.000 0.000 0.772
Tc1 0.500 0.500 0.000
Sn1 0.500 0.500 0.500

***

[2]
A plane-wave DFT calculation with PBE was carried out for La2ReW after structural relaxation.

Results
distance to the lowest polymorph of the same formula = 0.610 eV per atom
E = -64.036 eV per cell
total moment = 0.0 μB/f.u.
space group = Immm, No. 71
formation energy = 312.4 kJ/mol of formula units
crystal system = orthorhombic

Lattice parameters (Å, degrees): 3.313 5.028 10.294 90.00 90.00 90.00
Positions (direct):
La1 0.000 0.000 0.239
La2 0.000 0.000 0.761
La3 0.500 0.500 0.261
La4 0.500 0.500 0.739
Re1 0.000 0.500 0.500
Re2 0.500 0.000 0.000
W1 0.000 0.500 0.000
W2 0.500 0.000 0.500

***

[3]
A plane-wave DFT calculation with PBE was carried out for Eu2PbS after structural relaxation.

Results
distance to the lowest polymorph of the same formula = 0.095 eV per atom
E = -33.027 eV per cell
total moment = 14.0 μB/f.u.
space group = P4/mmm, No. 123
crystal system = tetragonal

Lattice parameters (Å, degrees): 3.606 3.606 8.385 90.00 90.00 90.00
Positions (direct):
Eu1 0.000 0.000 0.208
Eu2 0.000 0.000 0.792
Pb1 0.500 0.500 0.500
S1 0.500 0.500 0.000

***

[4]
A plane-wave DFT calculation with PBE was carried out for Sr2Li5Ga5 after structural relaxation.

Results
E = -31.770 eV per cell
total moment = 0.0 μB/f.u.
space group = Pmmm, No. 47
formation energy = -357.3 kJ/mol of formula units
crystal system = orthorhombic

Lattice parameters (Å, degrees): 4.448 5.671 9.697 90.00 90.00 90.00
Positions (direct):
Sr1 0.000 0.000 0.000
Sr2 0.000 0.500 0.500
Li1 0.000 0.000 0.320
Li2 0.000 0.000 0.680
Li3 0.000 0.500 0.169
Li4 0.000 0.500 0.831
Li5 0.500 0.000 0.500
Ga1 0.500 0.250 0.248
Ga2 0.500 0.250 0.752
Ga3 0.500 0.500 0.000
Ga4 0.500 0.750 0.248
Ga5 0.500 0.750 0.752

***

[5]
A plane-wave DFT calculation with PBE was carried out for Zr2SiS after structural relaxation.

Results
distance to the lowest polymorph of the same formula = 0.020 eV per atom
E = -92.641 eV per cell
total moment = 0.0 μB/f.u.
space group = R-3m, No. 166
crystal system = trigonal

Lattice parameters (Å, degrees): 3.767 3.767 18.746 90.00 90.00 120.00
Positions (direct):
Zr1 0.000 0.000 0.246
Zr2 0.000 0.000 0.754
Zr3 0.333 0.667 0.421
Zr4 0.333 0.667 0.913
Zr5 0.667 0.333 0.087
Zr6 0.667 0.333 0.579
Si1 0.000 0.000 0.500
Si2 0.333 0.667 0.167
Si3 0.667 0.333 0.833
S1 0.000 0.000 0.000
S2 0.333 0.667 0.667
S3 0.667 0.333 0.333

***

[6]
A plane-wave DFT calculation with PBE was carried out for Li2CaN2 after structural relaxation.

Results
E = -44.860 eV per cell
total moment = 0.0 μB/f.u.
space group = I4/mmm, No. 139
crystal system = tetragonal

Lattice parameters (Å, degrees): 3.877 3.877 7.592 90.00 90.00 90.00
Positions (direct):
Li1 0.000 0.000 0.173
Li2 0.000 0.000 0.827
Li3 0.500 0.500 0.327
Li4 0.500 0.500 0.673
Ca1 0.000 0.000 0.500
Ca2 0.500 0.500 0.000
N1 0.000 0.500 0.250
N2 0.000 0.500 0.750
N3 0.500 0.000 0.250
N4 0.500 0.000 0.750